Entry from the Alexandria database: an optimized crystal structure of Fe3RuF (GGA+U).

## Properties
**Final energy**: -26.40 eV for the cell shown
**Density of states at the Fermi level**: 3.20 states/eV/f.u.
**Space-group type**: No. 221
**Total moment**: 2.529 μB/atom

```
Fe3RuF
1.0
-2.986 -2.510 1.584
2.457 -0.831 3.316
-1.664 3.276 2.054
Ru Fe F
1 3 1
Direct
0.500 0.500 0.500 Ru
0.000 0.500 0.000 Fe
0.000 0.000 0.500 Fe
0.500 0.000 0.000 Fe
0.000 0.000 0.000 F
```